Ho2Th3In7 | the Alexandria database | PBE | optimized geometry; E_tot = -4.333 eV per atom; DOS at the Fermi energy = 10.48 states/eV per cell; V = 29.60 Å³/atom; formation energy = -0.117 eV per atom
1.0
2.404 -15.260 0.000
2.404 15.260 0.000
0.000 0.000 4.840
Ho Th In
2 3 7
Direct
0.159 0.841 0.000 Ho
0.841 0.159 0.000 Ho
0.349 0.651 0.500 Th
0.500 0.500 0.500 Th
0.651 0.349 0.500 Th
0.000 0.000 0.000 In
0.079 0.921 0.500 In
0.273 0.727 0.000 In
0.422 0.578 0.000 In
0.578 0.422 0.000 In
0.727 0.273 0.000 In
0.921 0.079 0.500 In